Entry 1:
## Pm8PrDy3 (PBE-GGA)

Data for a relaxed structure of Pm8PrDy3.

a = 6.5948 Å, b = 11.3977 Å, c = 11.6241 Å
α = 90.00°, β = 90.00°, γ = 90.00°
With the nearest neighbours (Å) after each atom.
Space group Immm (No. 71)
One atom of each set of equivalent atoms:
Pm1 0.0000 0.1659 0.2488  4 Dy 3.46-3.81, 7 Pm 3.46-3.81, 1 Pr 3.48
Pm2 0.2416 0.2609 0.5000  6 Pm 3.19-3.50, 1 Dy 3.21, 1 Pr 3.37
Pr1 0.0000 0.0000 0.5000  8 Pm 3.37-3.48
Dy1 0.0000 0.0000 0.0000  8 Pm 3.21-3.46
Dy2 0.0000 0.5000 0.2623  10 Pm 3.80-4.20

Computed properties:
* energy of formation from the pure elements: 0.3338 eV per atom
* energy: -4.38 eV/atom

***

Entry 2:
## NbTl2GaO5 (PBE-GGA)

Data for a relaxed structure of NbTl2GaO5.

a = 3.1400 Å, b = 13.4549 Å, c = 14.1110 Å
α = 90.00°, β = 90.00°, γ = 90.00°
With the nearest neighbours (Å) after each atom.
Space group Cmc2_1 (No. 36)
One atom of each set of equivalent atoms:
Nb1 0.0000 0.1330 0.0000  5 O 1.87-2.06
Tl1 0.0000 0.0088 0.7394  2 O 2.57
Tl2 0.0000 0.2475 0.2534  3 O 2.54-2.77
Ga1 0.0000 0.4010 0.9502  4 O 1.85-1.89
O1 0.0000 0.0339 0.4896  2 Ga 1.88
O2 0.0000 0.2719 0.0021  1 Nb 1.87, 1 Ga 1.89
O3 0.0000 0.3774 0.4060  2 Nb 2.06
O4 0.0000 0.3833 0.8201  1 Ga 1.85
O5 0.0000 0.3852 0.5903  2 Nb 2.04

Computed properties:
* energy: -6.43 eV/atom
* formation energy without anion corrections: -1.70 eV/atom

***

Entry 3:
## RbInTeO6 (PBE-GGA)

Data for a relaxed structure of RbInTeO6.

a = 5.5774 Å, b = 5.5774 Å, c = 6.2615 Å
α = 90.00°, β = 90.00°, γ = 120.00°
With the nearest neighbours (Å) after each atom.
Space group P312 (No. 149)
One atom of each set of equivalent atoms:
Rb1 0.0000 0.0000 0.0000  6 O 2.95
In1 0.6667 0.3333 0.5000  6 O 2.18
Te1 0.3333 0.6667 0.5000  6 O 1.95
O1 0.0312 0.4022 0.3207  1 Te 1.95

Computed properties:
* energy: -5.07 eV/atom
* formation energy without anion corrections: -1.00 eV/atom

***

Entry 4:
## Li6MgIn (PBE-GGA)

Data for a relaxed structure of Li6MgIn.

a = 4.7156 Å, b = 6.8215 Å, c = 9.4543 Å
α = 90.00°, β = 90.00°, γ = 90.00°
With the nearest neighbours (Å) after each atom.
Space group Amm2 (No. 38)
One atom of each set of equivalent atoms:
Li1 0.0000 0.0000 0.0000  8 Li 2.77-3.08
Li2 0.0000 0.2338 0.2793  4 Li 2.77-3.08, 2 Mg 2.84-3.00, 2 In 2.98
Li3 0.5000 0.0000 0.2990  8 Li 2.85-2.95
Li4 0.5000 0.2338 0.0367  5 Li 2.87-3.19, 2 In 2.92, 2 Mg 2.98
Mg1 0.0000 0.0000 0.5479  8 Li 2.84-3.00
In1 0.5000 0.0000 0.7779  10 Li 2.92-3.16, 2 Mg 3.21

Computed properties:
* energy of formation from the pure elements: -0.1390 eV per atom
* energy: -2.12 eV/atom
* polymorph energy (0 for the lowest one): 0.0000 eV/atom

***

Entry 5:
## Mg6Hg2Pb (PBE-GGA)

Data for a relaxed structure of Mg6Hg2Pb.

a = 9.9179 Å, b = 4.4581 Å, c = 9.6210 Å
α = 90.00°, β = 104.67°, γ = 90.00°
With the nearest neighbours (Å) after each atom.
Space group C2/m (No. 12)
One atom of each set of equivalent atoms:
Mg1 0.0086 0.0000 0.3307  3 Hg 3.04-3.10, 8 Mg 3.16-3.30, 1 Pb 3.16
Mg2 0.1610 0.5000 0.5537  3 Hg 3.01-3.04, 9 Mg 3.10-3.20
Mg3 0.1668 0.5000 0.8861  3 Hg 3.09-3.45, 3 Pb 3.13-3.21, 5 Mg 3.18-3.27
Hg1 0.1922 0.5000 0.2503  8 Mg 3.01-3.10
Pb1 0.0000 0.0000 0.0000  8 Mg 3.13-3.21, 4 Hg 3.48

Computed properties:
* energy of formation from the pure elements: -0.1065 eV per atom
* energy: -1.65 eV/atom
* polymorph energy (0 for the lowest one): 0.0166 eV/atom

***

Entry 6:
## NaCuI2 (PBE-GGA)

Data for a relaxed structure of NaCuI2.

a = 6.8431 Å, b = 6.8431 Å, c = 12.1120 Å
α = 90.00°, β = 90.00°, γ = 90.00°
With the nearest neighbours (Å) after each atom.
Space group I-42d (No. 122)
One atom of each set of equivalent atoms:
Na1 0.0000 0.0000 0.0000  4 I 3.10
Cu1 0.0000 0.0000 0.5000  4 I 2.64
I1 0.1942 0.2500 0.6250  2 Cu 2.64

Computed properties:
* energy: -2.79 eV/atom
* polymorph energy (0 for the lowest one): 0.0000 eV/atom
* formation energy without anion corrections: -0.66 eV/atom

***

Among the records above, which one has the lowest energy?
NbTl2GaO5